[1]
Below is GdInSb2 after structural relaxation, with properties calculated at the PBE level.

a = 3.8064 Å, b = 3.8064 Å, c = 30.7083 Å
α = 90.00°, β = 90.00°, γ = 120.00°
Space group R-3m (No. 166, hexagonal axes)
One atom of each set of equivalent atoms:
Gd  0.0000  0.0000  0.0000 x3
In  0.0000  0.0000  0.5000 x3
Sb  0.0000  0.0000  0.1003 x6

=====

[2]
Below is GdInSb2 after structural relaxation, with properties calculated at the PBE level.

a = 4.123 Å, b = 4.123 Å, c = 6.514 Å
α = 90.00°, β = 90.00°, γ = 90.00°
Space group P4/mmm (No. 123)
One atom of each set of equivalent atoms:
Gd  0.000  0.000  0.000 x1
In  0.000  0.000  0.500 x1
Sb  0.500  0.500  0.234 x2

=====

Record-wise energy relative to the elements, uncorrected values, in meV/atom: 158, -524
Record-wise calculated volume values, in Å³/atom: 32.11, 27.69